The following is a DFT calculation (PBE) of a relaxed YMg2As crystal.

Unit cell a=6.6261 b=6.6261 c=6.6261 alpha=100.63 beta=100.63 gamma=129.13
With the nearest neighbours (Å) after each atom.
Fractional coordinates of all 8 atoms:
Y (0.0000, 0.0000, 0.0000)  2 As 2.85
Y (0.7500, 0.2500, 0.5000)  2 As 2.85
Mg (0.1893, 0.1250, 0.5643)  2 As 2.73, 2 Mg 3.05
Mg (0.3750, 0.8107, 0.9357)  2 As 2.73, 2 Mg 3.05
Mg (0.5607, 0.6250, 0.4357)  2 As 2.73, 2 Mg 3.05
Mg (0.8750, 0.4393, 0.0643)  2 As 2.73, 2 Mg 3.05
As (0.2500, 0.7500, 0.5000)  4 Mg 2.73, 2 Y 2.85
As (0.5000, 0.5000, 0.0000)  4 Mg 2.73, 2 Y 2.85

Results
Formation energy from the elements (eV/atom): -0.39